[1]
VASP calculation (PBE-GGA) on an optimized crystal structure of LaGdTc4.

```
LaGdTc4
1.0
5.4795 0.0000 0.0000
2.7397 4.7454 0.0000
2.7397 1.5818 4.4740
Gd Tc La
1 4 1
Direct
0.2500 0.2500 0.2500
0.6249 0.6249 0.1254
0.6249 0.1254 0.6249
0.6249 0.6249 0.6249
0.1254 0.6249 0.6249
0.0000 0.0000 0.0000
```

Summary:
Magnetization   5.9 μB/cell
Uncorrected energy   -60.25 eV per formula unit
Space group   No. 216



[2]
VASP calculation (PBE-GGA) on an optimized crystal structure of LaGd2Tc.

```
LaGd2Tc
1.0
3.4748 0.0000 0.0000
0.0000 3.4748 0.0000
0.0000 0.0000 9.3357
Gd Tc La
2 1 1
Direct
0.0000 0.0000 0.8209
0.0000 0.0000 0.1791
0.5000 0.5000 0.0000
0.5000 0.5000 0.5000
```

Summary:
Distance to the lowest polymorph of the same formula   0 meV/atom
Magnetization   14.2 μB/cell
Space group   No. 123



[3]
VASP calculation (PBE-GGA) on an optimized crystal structure of LaGd3Tc.

```
LaGd3Tc
1.0
-1.0317 4.9815 -1.9570
-2.4996 -2.2108 -4.3098
-4.7326 0.0817 2.7030
Gd Tc La
3 1 1
Direct
0.0000 0.5000 0.0000
0.0000 0.0000 0.5000
0.5000 0.0000 0.0000
0.0000 0.0000 0.0000
0.5000 0.5000 0.5000
```

Summary:
Magnetization   22.1 μB/cell
Uncorrected energy   -57.11 eV per formula unit
Space group   No. 221



> Which formula does entry 1 have?

LaGdTc4